## DyNpCu2O8 (PBE-GGA)

Data for an optimized crystal structure of DyNpCu2O8.

The crystal system is tetragonal. The value obtained for the formation energy (no corrections) is -1.656 eV/atom. The calculation puts the density of states at the Fermi level at 0.83 states/eV/atom. As for the total energy: -7.11 eV/atom.

It has space group I-4m2 (No. 119), with a = 6.779 Å, b = 6.779 Å, c = 6.793 Å, α = 90.00°, β = 90.00° and γ = 90.00°. The distinct sites, in fractional coordinates, are Dy at (0.000, 0.000, 0.000), Np at (0.000, 0.500, 0.250), Cu at (0.000, 0.000, 0.500), Cu at (0.000, 0.500, 0.750), O at (0.000, 0.202, 0.300) and O at (0.000, 0.328, 0.955).



## Ca2SiNi5B2 (PBE-GGA)

Data for an optimized crystal structure of Ca2SiNi5B2.

The crystal system is tetragonal. The value obtained for the formation energy (no corrections) is -0.239 eV/atom. The calculation puts the density of states at the Fermi level at 0.41 states/eV/atom. As for the total energy: -5.41 eV/atom.

It has space group P4/mbm (No. 127), with a = 9.151 Å, b = 9.151 Å, c = 2.938 Å, α = 90.00°, β = 90.00° and γ = 90.00°. The distinct sites, in fractional coordinates, are Ca at (0.180, 0.320, 0.000), Si at (0.000, 0.000, 0.000), Ni at (0.000, 0.500, 0.500), Ni at (0.064, 0.778, 0.500) and B at (0.117, 0.617, 0.000).



## TbSmGe2 (PBE-GGA)

Data for an optimized crystal structure of TbSmGe2.

The crystal system is orthorhombic. The calculation puts the density of states at the Fermi level at 0.59 states/eV/atom. As for the total energy: -5.51 eV/atom. For the formation energy, the calculation gives -0.866 eV per atom.

It has space group Pmc2_1 (No. 26), with a = 4.007 Å, b = 5.864 Å, c = 8.082 Å, α = 90.00°, β = 90.00° and γ = 90.00°. The distinct sites, in fractional coordinates, are Tb at (0.000, 0.131, 0.000), Sm at (0.500, 0.368, 0.362), Ge at (0.000, 0.391, 0.641) and Ge at (0.500, 0.107, 0.722).



## LiCd2Ag (PBE-GGA)

Data for an optimized crystal structure of LiCd2Ag.

The crystal system is tetragonal. The calculation puts the density of states at the Fermi level at 0.24 states/eV/atom. As for the total energy: -1.63 eV/atom. For the formation energy, the calculation gives 0.023 eV per atom.

It has space group I-42d (No. 122), with a = 7.733 Å, b = 7.733 Å, c = 5.669 Å, α = 90.00°, β = 90.00° and γ = 90.00°. The distinct sites, in fractional coordinates, are Li at (0.000, 0.000, 0.000), Cd at (0.249, 0.250, 0.125) and Ag at (0.000, 0.000, 0.500).



## Sc3Te (PBE-GGA)

Data for an optimized crystal structure of Sc3Te.

The crystal system is hexagonal. The value obtained for the formation energy (no corrections) is -0.422 eV/atom. The calculation puts the density of states at the Fermi level at 1.14 states/eV/atom. As for the total energy: -5.96 eV/atom.

It has space group P6_3/mmc (No. 194), with a = 6.3606 Å, b = 6.3606 Å, c = 5.1012 Å, α = 90.00°, β = 90.00° and γ = 120.00°. The distinct sites, in fractional coordinates, are Sc at (0.1668, 0.3337, 0.2500) and Te at (0.3333, 0.6667, 0.7500).



## V8Fe2Ge (PBE-GGA)

Data for an optimized crystal structure of V8Fe2Ge.

The crystal system is monoclinic. The calculation puts the density of states at the Fermi level at 1.06 states/eV/atom. As for the total energy: -8.47 eV/atom. For the formation energy, the calculation gives 0.117 eV per atom.

It has space group C2/m (No. 12), with a = 6.657 Å, b = 10.648 Å, c = 4.533 Å, α = 90.00°, β = 110.91° and γ = 90.00°. The distinct sites, in fractional coordinates, are V at (0.000, 0.242, 0.000), V at (0.104, 0.500, 0.829), V at (0.204, 0.115, 0.585), Fe at (0.000, 0.307, 0.500) and Ge at (0.000, 0.000, 0.000).



## GaIrPt3 (PBE-GGA)

Data for an optimized crystal structure of GaIrPt3.

The crystal system is cubic. The calculation puts the density of states at the Fermi level at 1.84 states/eV/atom. As for the total energy: -4.87 eV/atom. For the formation energy, the calculation gives 1.130 eV per atom.

It has space group Pm-3m (No. 221), with a = 4.877 Å, b = 4.877 Å, c = 4.877 Å, α = 90.00°, β = 90.00° and γ = 90.00°. The distinct sites, in fractional coordinates, are Ga at (0.000, 0.000, 0.000), Ir at (0.500, 0.500, 0.500) and Pt at (0.000, 0.500, 0.500).



## HfSiTcRu (PBE-GGA)

Data for an optimized crystal structure of HfSiTcRu.

The crystal system is cubic. The value obtained for the formation energy (no corrections) is -0.587 eV/atom. The calculation puts the density of states at the Fermi level at 0.93 states/eV/atom. As for the total energy: -9.34 eV/atom.

It has space group F-43m (No. 216), with a = 6.216 Å, b = 6.216 Å, c = 6.216 Å, α = 90.00°, β = 90.00° and γ = 90.00°. The distinct sites, in fractional coordinates, are Hf at (0.000, 0.000, 0.000), Si at (0.000, 0.000, 0.500), Tc at (0.250, 0.250, 0.750) and Ru at (0.250, 0.250, 0.250).